1.
This record from Alexandria via LeMat-Bulk describes SrTlIn3 after structural relaxation. The functional is PBE-GGA.

```
SrTlIn3
1.0
5.762 0.000 0.000
0.000 5.762 0.000
0.000 0.000 5.762
Sr Tl In
1 1 3
direct
0.000 0.000 0.000
0.500 0.500 0.500
0.000 0.500 0.500
0.500 0.000 0.500
0.500 0.500 0.000
```

**Symmetry**: Pm-3m
**ΔH_f (0 K)**: 0.18 eV per atom
**Density of states at the Fermi level**: 4.03 states/eV per cell
**Calculated total energy**: -2.276 eV/atom

2.
This record from Alexandria via LeMat-Bulk describes Sr3Tl2In9 after structural relaxation. The functional is PBE-GGA.

```
Sr3Tl2In9
1.0
-2.478 5.750 7.351
2.478 -5.750 7.351
2.478 5.750 -7.351
Sr Tl In
3 2 9
direct
0.000 0.000 0.000
0.310 0.310 0.000
0.690 0.690 0.000
0.306 0.500 0.806
0.694 0.500 0.194
0.032 0.658 0.374
0.124 0.849 0.275
0.284 0.658 0.626
0.426 0.151 0.275
0.500 0.000 0.500
0.574 0.849 0.725
0.716 0.342 0.374
0.876 0.151 0.725
0.968 0.342 0.626
```

**Symmetry**: Immm
**ΔH_f (0 K)**: -0.28 eV per atom
**Density of states at the Fermi level**: 6.49 states/eV per cell
**Calculated total energy**: -2.743 eV/atom

3.
This record from Alexandria via LeMat-Bulk describes Sr5TlIn4 after structural relaxation. The functional is PBE-GGA.

```
Sr5TlIn4
1.0
4.098 0.000 0.000
0.000 4.098 0.000
0.000 0.000 20.224
Sr Tl In
5 1 4
direct
0.000 0.000 0.000
0.000 0.000 0.199
0.000 0.000 0.399
0.000 0.000 0.601
0.000 0.000 0.801
0.500 0.500 0.500
0.500 0.500 0.100
0.500 0.500 0.299
0.500 0.500 0.701
0.500 0.500 0.900
```

**Symmetry**: P4/mmm
**ΔH_f (0 K)**: -0.43 eV per atom
**Density of states at the Fermi level**: 7.78 states/eV per cell
**Calculated total energy**: -2.603 eV/atom

4.
This record from Alexandria via LeMat-Bulk describes Sr2TlIn after structural relaxation. The functional is PBE-GGA.

```
Sr2TlIn
1.0
6.390 -1.940 0.000
6.390 1.940 0.000
-1.943 0.000 5.593
Sr Tl In
2 1 1
direct
0.000 0.000 0.000
0.206 0.206 0.651
0.450 0.450 0.471
0.755 0.755 0.180
```

**Symmetry**: Cm
**ΔH_f (0 K)**: -0.34 eV per atom
**Density of states at the Fermi level**: 2.50 states/eV per cell
**Calculated total energy**: -2.459 eV/atom

5.
This record from Alexandria via LeMat-Bulk describes SrTl14In after structural relaxation. The functional is PBE-GGA.

```
SrTl14In
1.0
11.118 0.000 0.000
0.000 3.949 5.630
0.000 -3.949 5.630
Sr Tl In
1 14 1
direct
0.000 0.000 0.000
0.000 0.515 0.951
0.000 0.951 0.515
0.236 0.264 0.264
0.250 0.301 0.752
0.250 0.752 0.301
0.261 0.788 0.788
0.500 0.008 0.008
0.500 0.022 0.498
0.500 0.498 0.022
0.500 0.513 0.513
0.739 0.788 0.788
0.750 0.301 0.752
0.750 0.752 0.301
0.764 0.264 0.264
0.000 0.470 0.470
```

**Symmetry**: Amm2
**ΔH_f (0 K)**: -0.06 eV per atom
**Density of states at the Fermi level**: 5.37 states/eV per cell
**Calculated total energy**: -2.406 eV/atom

6.
This record from Alexandria via LeMat-Bulk describes Sr2TlIn after structural relaxation. The functional is PBE-GGA.

```
Sr2TlIn
1.0
5.396 -2.038 0.000
5.396 2.038 0.000
-1.534 0.000 6.736
Sr Tl In
2 1 1
direct
0.250 0.250 0.249
0.750 0.750 0.751
0.000 0.000 0.500
0.500 0.500 0.000
```

**Symmetry**: C2/m
**ΔH_f (0 K)**: -0.24 eV per atom
**Density of states at the Fermi level**: 3.91 states/eV per cell
**Calculated total energy**: -2.359 eV/atom

7.
This record from Alexandria via LeMat-Bulk describes Sr4Tl15In after structural relaxation. The functional is PBE-GGA.

```
Sr4Tl15In
1.0
5.014 0.000 0.000
0.000 5.014 0.000
0.000 0.000 24.590
Sr Tl In
4 15 1
direct
0.000 0.000 0.101
0.000 0.000 0.304
0.000 0.000 0.696
0.000 0.000 0.899
0.000 0.500 0.000
0.000 0.500 0.202
0.000 0.500 0.407
0.000 0.500 0.593
0.000 0.500 0.798
0.500 0.000 0.000
0.500 0.000 0.202
0.500 0.000 0.407
0.500 0.000 0.593
0.500 0.000 0.798
0.500 0.500 0.101
0.500 0.500 0.299
0.500 0.500 0.500
0.500 0.500 0.701
0.500 0.500 0.899
0.000 0.000 0.500
```

**Symmetry**: P4/mmm
**ΔH_f (0 K)**: -0.19 eV per atom
**Density of states at the Fermi level**: 14.22 states/eV per cell
**Calculated total energy**: -2.442 eV/atom

8.
This record from Alexandria via LeMat-Bulk describes SrTlIn2 after structural relaxation. The functional is PBE-GGA.

```
SrTlIn2
1.0
5.007 0.000 0.000
0.000 3.347 4.036
0.000 -3.347 4.036
Sr Tl In
1 1 2
direct
0.000 0.000 0.000
0.500 0.291 0.291
0.000 0.516 0.516
0.500 0.707 0.707
```

**Symmetry**: Amm2
**ΔH_f (0 K)**: -0.14 eV per atom
**Density of states at the Fermi level**: 3.18 states/eV per cell
**Calculated total energy**: -2.526 eV/atom

9.
This record from Alexandria via LeMat-Bulk describes Sr2TlIn2 after structural relaxation. The functional is PBE-GGA.

```
Sr2TlIn2
1.0
-3.258 3.258 4.567
3.258 -3.258 4.567
3.258 3.258 -4.567
Sr Tl In
2 1 2
direct
0.250 0.750 0.500
0.750 0.250 0.500
0.000 0.000 0.000
0.348 0.348 0.000
0.652 0.652 0.000
```

**Symmetry**: I4/mmm
**ΔH_f (0 K)**: -0.11 eV per atom
**Density of states at the Fermi level**: 4.93 states/eV per cell
**Calculated total energy**: -2.353 eV/atom

10.
This record from Alexandria via LeMat-Bulk describes Sr3TlIn2 after structural relaxation. The functional is PBE-GGA.

```
Sr3TlIn2
1.0
4.112 0.000 0.000
0.000 4.112 0.000
0.000 0.000 12.083
Sr Tl In
3 1 2
direct
0.000 0.000 0.000
0.000 0.000 0.331
0.000 0.000 0.669
0.500 0.500 0.500
0.500 0.500 0.164
0.500 0.500 0.836
```

**Symmetry**: P4/mmm
**ΔH_f (0 K)**: -0.43 eV per atom
**Density of states at the Fermi level**: 4.49 states/eV per cell
**Calculated total energy**: -2.578 eV/atom

11.
This record from Alexandria via LeMat-Bulk describes Sr2Tl2In after structural relaxation. The functional is PBE-GGA.

```
Sr2Tl2In
1.0
6.187 -2.490 0.000
6.187 2.490 0.000
-5.601 0.000 10.978
Sr Tl In
4 4 2
direct
0.007 0.007 0.332
0.184 0.184 0.108
0.816 0.816 0.892
0.993 0.993 0.668
0.354 0.354 0.449
0.465 0.465 0.111
0.535 0.535 0.889
0.646 0.646 0.551
0.285 0.285 0.669
0.715 0.715 0.331
```

**Symmetry**: C2/m
**ΔH_f (0 K)**: -0.39 eV per atom
**Density of states at the Fermi level**: 4.90 states/eV per cell
**Calculated total energy**: -2.558 eV/atom

12.
This record from Alexandria via LeMat-Bulk describes Sr4TlIn after structural relaxation. The functional is PBE-GGA.

```
Sr4TlIn
1.0
5.981 0.000 0.000
0.000 7.671 0.000
-0.315 0.000 10.149
Sr Tl In
8 2 2
direct
0.225 0.250 0.083
0.242 0.750 0.411
0.270 0.502 0.743
0.270 0.998 0.743
0.730 0.002 0.257
0.730 0.498 0.257
0.758 0.250 0.589
0.775 0.750 0.917
0.284 0.750 0.075
0.716 0.250 0.925
0.249 0.250 0.421
0.751 0.750 0.579
```

**Symmetry**: P2_1/m
**ΔH_f (0 K)**: -0.28 eV per atom
**Density of states at the Fermi level**: 19.86 states/eV per cell
**Calculated total energy**: -2.248 eV/atom